# TiAlV2Hg

A relaxed TiAlV2Hg crystal (PBE, the Alexandria database).

Results
Volume (Å³/f.u.): 97.3
DFT total energy (eV per atom): -5.071
SG: P4/mmm, No. 123
Formation energy (eV/atom): 0.965
Energy above the lowest structure with this stoichiometry (eV per atom): 0.000

a = 4.5541 Å, b = 4.6925 Å, c = 4.5541 Å
α = 90.00°, β = 90.00°, γ = 90.00°
With the nearest neighbours (Å) after each atom.
Positions (direct):
Ti 0.0000 0.5000 0.0000  2 Al 2.35
Hg 0.5000 0.5000 0.5000  4 Ti 3.22, 8 V 3.27
V 0.5000 0.0000 0.0000  2 Al 2.28
V 0.0000 0.0000 0.5000  2 Al 2.28
Al 0.0000 0.0000 0.0000  4 V 2.28, 2 Ti 2.35